[1]
11
Lattice="5.195 0.000 0.000 0.198 7.716 0.000 0.203 2.728 7.225" Properties=species:S:1:pos:R:3 comment="NiSb8Ir2 GGA-PBE optimized geometry" e_form_raw_mev_per_atom=-5.7 pbc="T T T"
Ni 0.000 0.000 0.000
Sb 1.495 4.293 2.980
Sb 1.861 8.669 5.997
Sb 1.783 7.592 2.078
Sb 1.789 4.622 6.371
Sb 3.807 5.821 0.854
Sb 3.812 2.852 5.147
Sb 3.734 1.775 1.227
Sb 4.100 6.151 4.245
Ir 1.468 6.548 4.531
Ir 4.128 3.895 2.694

***

[2]
4
Lattice="3.859 0.000 0.000 0.000 3.859 0.000 0.000 0.000 3.773" Properties=species:S:1:pos:R:3 comment="Ni2SbIr GGA-PBE optimized geometry" e_form_raw_mev_per_atom=-77.9 pbc="T T T"
Ni 0.000 1.930 0.000
Ni 1.930 0.000 0.000
Sb 0.000 0.000 1.886
Ir 1.930 1.930 1.886

***

[3]
6
Lattice="0.000 3.388 3.388 3.388 0.000 3.388 3.388 3.388 0.000" Properties=species:S:1:pos:R:3 comment="Ni4SbIr GGA-PBE optimized geometry" e_form_raw_mev_per_atom=129.1 pbc="T T T"
Ni 2.547 2.547 2.547
Ni 4.228 4.228 2.547
Ni 4.228 2.547 4.228
Ni 2.547 4.228 4.228
Sb 0.000 0.000 0.000
Ir 5.082 5.082 5.082

***

[4]
3
Lattice="4.233 0.000 0.000 -2.116 3.666 0.000 0.000 0.000 3.070" Properties=species:S:1:pos:R:3 comment="NiSbIr GGA-PBE optimized geometry" e_form_raw_mev_per_atom=154.4 pbc="T T T"
Ni 0.000 0.000 0.000
Sb 2.116 1.222 0.622
Ir 0.000 2.444 1.658

***

[5]
4
Lattice="3.255 0.000 0.000 0.000 3.255 0.000 0.000 0.000 5.440" Properties=species:S:1:pos:R:3 comment="Ni2SbIr GGA-PBE optimized geometry" e_form_raw_mev_per_atom=103.7 pbc="T T T"
Ni 0.000 0.000 0.000
Ni 1.627 1.627 1.140
Sb 0.000 0.000 2.540
Ir 1.627 1.627 4.034

***

[6]
8
Lattice="4.060 0.000 0.000 0.000 4.060 0.000 0.000 0.000 7.311" Properties=species:S:1:pos:R:3 comment="NiSbIr2 GGA-PBE optimized geometry" e_form_raw_mev_per_atom=55.2 pbc="T T T"
Ni 0.000 0.000 0.000
Ni 2.030 2.030 3.655
Sb 0.000 0.000 3.655
Sb 2.030 2.030 0.000
Ir 0.000 2.030 1.828
Ir 0.000 2.030 5.483
Ir 2.030 0.000 1.828
Ir 2.030 0.000 5.483

***

[7]
8
Lattice="3.110 0.000 0.000 0.000 3.899 0.000 0.000 0.000 12.453" Properties=species:S:1:pos:R:3 comment="NiSb2Ir GGA-PBE optimized geometry" e_form_raw_mev_per_atom=53.5 polymorph_energy_mev_per_atom=142 pbc="T T T"
Ni 0.000 0.000 0.000
Ni 1.555 1.949 6.227
Sb 0.000 0.000 5.529
Sb 0.000 1.949 8.537
Sb 1.555 0.000 2.311
Sb 1.555 1.949 11.756
Ir 0.000 1.949 3.673
Ir 1.555 0.000 9.900

***

[8]
8
Lattice="5.618 0.000 0.000 0.000 7.161 0.000 0.000 0.000 3.044" Properties=species:S:1:pos:R:3 comment="NiSbIr2 GGA-PBE optimized geometry" e_form_raw_mev_per_atom=178.7 pbc="T T T"
Ni 0.000 0.000 0.000
Ni 2.809 3.580 0.000
Sb 0.000 3.580 0.000
Sb 2.809 0.000 0.000
Ir 1.404 1.790 1.522
Ir 1.404 5.370 1.522
Ir 4.213 1.790 1.522
Ir 4.213 5.370 1.522